[1]
Here is a relaxed Zr3Ir crystal from Alexandria. Energies are from GGA-PBE.

The space group is Fm-3m (No. 225) and the conventional cell measures 6.787, 6.787 and 6.787 Å, with angles of 90.00, 90.00 and 90.00 degrees. The asymmetric unit holds Zr at (0.000, 0.000, 0.000), Zr at (0.250, 0.250, 0.250) and Ir at (0.000, 0.000, 0.500).

[2]
Here is a relaxed ZrIr2 crystal from Alexandria. Energies are from GGA-PBE.

The space group is P-62m (No. 189) and the conventional cell measures 6.7006, 6.7006 and 4.1699 Å, with angles of 90.00, 90.00 and 120.00 degrees. The asymmetric unit holds Zr at (0.0000, 0.0000, 0.0000), Zr at (0.3333, 0.6667, 0.5000), Ir at (0.0000, 0.2458, 0.5000) and Ir at (0.0000, 0.5771, 0.0000).

[3]
Here is a relaxed ZrIr2 crystal from Alexandria. Energies are from GGA-PBE.

The space group is Fd-3m (No. 227, origin choice 2) and the conventional cell measures 7.431, 7.431 and 7.431 Å, with angles of 90.00, 90.00 and 90.00 degrees. The asymmetric unit holds Zr at (0.125, 0.125, 0.125) and Ir at (0.000, 0.000, 0.500).

[4]
Here is a relaxed Zr5Ir4 crystal from Alexandria. Energies are from GGA-PBE.

The space group is I4/mmm (No. 139) and the conventional cell measures 8.467, 8.467 and 4.658 Å, with angles of 90.00, 90.00 and 90.00 degrees. The asymmetric unit holds Zr at (0.000, 0.000, 0.000), Zr at (0.180, 0.180, 0.500) and Ir at (0.000, 0.341, 0.000).

The relative energy among the computed polymorphs comes out at 256 meV/atom.

[5]
Here is a relaxed Zr3Ir crystal from Alexandria. Energies are from GGA-PBE.

The space group is Pmmn (No. 59, origin choice 2) and the conventional cell measures 4.930, 5.713 and 5.698 Å, with angles of 90.00, 90.00 and 90.00 degrees. The asymmetric unit holds Zr at (0.250, 0.000, 0.129), Zr at (0.250, 0.250, 0.598) and Ir at (0.250, 0.750, 0.669).

[6]
Here is a relaxed Zr7Ir crystal from Alexandria. Energies are from GGA-PBE.

The space group is Fm-3m (No. 225) and the conventional cell measures 8.840, 8.840 and 8.840 Å, with angles of 90.00, 90.00 and 90.00 degrees. The asymmetric unit holds Zr at (0.000, 0.000, 0.000), Zr at (0.000, 0.250, 0.250) and Ir at (0.000, 0.000, 0.500).

[7]
Here is a relaxed ZrIr crystal from Alexandria. Energies are from GGA-PBE.

The space group is C2/m (No. 12) and the conventional cell measures 10.102, 3.002 and 4.869 Å, with angles of 90.00, 99.87 and 90.00 degrees. The asymmetric unit holds Zr at (0.109, 0.000, 0.320) and Ir at (0.140, 0.500, 0.835).

[8]
Here is a relaxed Zr3Ir2 crystal from Alexandria. Energies are from GGA-PBE.

The space group is P-3m1 (No. 164) and the conventional cell measures 4.5704, 4.5704 and 5.7270 Å, with angles of 90.00, 90.00 and 120.00 degrees. The asymmetric unit holds Zr at (0.0000, 0.0000, 0.0000), Zr at (0.3333, 0.6667, 0.3422) and Ir at (0.3333, 0.6667, 0.8280).

The relative energy among the computed polymorphs comes out at 0 meV/atom.

[9]
Here is a relaxed Zr4Ir5 crystal from Alexandria. Energies are from GGA-PBE.

The space group is I4/mmm (No. 139) and the conventional cell measures 8.869, 8.869 and 4.056 Å, with angles of 90.00, 90.00 and 90.00 degrees. The asymmetric unit holds Zr at (0.000, 0.302, 0.000), Ir at (0.000, 0.000, 0.000) and Ir at (0.164, 0.164, 0.500).

The relative energy among the computed polymorphs comes out at 0 meV/atom.

[10]
Here is a relaxed Zr3Ir4 crystal from Alexandria. Energies are from GGA-PBE.

The space group is R-3 (No. 148, hexagonal axes) and the conventional cell measures 12.3523, 12.3523 and 5.6223 Å, with angles of 90.00, 90.00 and 120.00 degrees. The asymmetric unit holds Zr at (0.0396, 0.8220, 0.2268), Ir at (0.0000, 0.0000, 0.0000), Ir at (0.0000, 0.0000, 0.5000) and Ir at (0.0438, 0.7904, 0.7168).

The relative energy among the computed polymorphs comes out at 0 meV/atom.

[11]
Here is a relaxed ZrIr crystal from Alexandria. Energies are from GGA-PBE.

The space group is P2_13 (No. 198) and the conventional cell measures 5.339, 5.339 and 5.339 Å, with angles of 90.00, 90.00 and 90.00 degrees. The asymmetric unit holds Zr at (0.083, 0.083, 0.083) and Ir at (0.071, 0.571, 0.929).

[12]
Here is a relaxed ZrIr2 crystal from Alexandria. Energies are from GGA-PBE.

The space group is P6/mmm (No. 191) and the conventional cell measures 4.4256, 4.4256 and 3.0531 Å, with angles of 90.00, 90.00 and 120.00 degrees. The asymmetric unit holds Zr at (0.0000, 0.0000, 0.0000) and Ir at (0.3333, 0.6667, 0.5000).

[13]
Here is a relaxed Zr3Ir2 crystal from Alexandria. Energies are from GGA-PBE.

The space group is Pnma (No. 62) and the conventional cell measures 10.625, 3.494 and 10.993 Å, with angles of 90.00, 90.00 and 90.00 degrees. The asymmetric unit holds Zr at (0.056, 0.250, 0.131), Zr at (0.130, 0.750, 0.550), Zr at (0.215, 0.250, 0.786), Ir at (0.020, 0.750, 0.322) and Ir at (0.181, 0.750, 0.978).

The relative energy among the computed polymorphs comes out at 62 meV/atom.

[14]
Here is a relaxed ZrIr crystal from Alexandria. Energies are from GGA-PBE.

The space group is P6_3/mmc (No. 194) and the conventional cell measures 3.5704, 3.5704 and 7.2049 Å, with angles of 90.00, 90.00 and 120.00 degrees. The asymmetric unit holds Zr at (0.0000, 0.0000, 0.0000) and Ir at (0.3333, 0.6667, 0.2500).

[15]
Here is a relaxed Zr3Ir crystal from Alexandria. Energies are from GGA-PBE.

The space group is P4/mmm (No. 123) and the conventional cell measures 3.348, 3.348 and 7.314 Å, with angles of 90.00, 90.00 and 90.00 degrees. The asymmetric unit holds Zr at (0.000, 0.000, 0.000), Zr at (0.500, 0.500, 0.281) and Ir at (0.000, 0.000, 0.500).

[16]
Here is a relaxed ZrIr2 crystal from Alexandria. Energies are from GGA-PBE.

The space group is P4/mmm (No. 123) and the conventional cell measures 3.790, 3.790 and 4.063 Å, with angles of 90.00, 90.00 and 90.00 degrees. The asymmetric unit holds Zr at (0.000, 0.000, 0.000) and Ir at (0.000, 0.500, 0.500).

[17]
Here is a relaxed ZrIr2 crystal from Alexandria. Energies are from GGA-PBE.

The space group is C2/m (No. 12) and the conventional cell measures 8.986, 4.090 and 5.636 Å, with angles of 90.00, 105.86 and 90.00 degrees. The asymmetric unit holds Zr at (0.145, 0.000, 0.314), Ir at (0.000, 0.500, 0.000), Ir at (0.000, 0.500, 0.500) and Ir at (0.177, 0.000, 0.835).

[18]
Here is a relaxed ZrIr2 crystal from Alexandria. Energies are from GGA-PBE.

The space group is P-3m1 (No. 164) and the conventional cell measures 2.8393, 2.8393 and 7.0869 Å, with angles of 90.00, 90.00 and 120.00 degrees. The asymmetric unit holds Zr at (0.0000, 0.0000, 0.0000) and Ir at (0.3333, 0.6667, 0.6598).

[19]
Here is a relaxed ZrIr5 crystal from Alexandria. Energies are from GGA-PBE.

The space group is F-43m (No. 216) and the conventional cell measures 7.319, 7.319 and 7.319 Å, with angles of 90.00, 90.00 and 90.00 degrees. The asymmetric unit holds Zr at (0.000, 0.000, 0.000), Ir at (0.124, 0.124, 0.624) and Ir at (0.250, 0.250, 0.250).

[20]
Here is a relaxed ZrIr crystal from Alexandria. Energies are from GGA-PBE.

The space group is Cm (No. 8) and the conventional cell measures 9.699, 3.938 and 6.036 Å, with angles of 90.00, 108.61 and 90.00 degrees. The asymmetric unit holds Zr at (0.000, 0.000, 0.000), Zr at (0.056, 0.000, 0.548), Zr at (0.229, 0.500, 0.343), Ir at (0.196, 0.500, 0.857), Ir at (0.366, 0.000, 0.688) and Ir at (0.369, 0.000, 0.185).

[21]
Here is a relaxed ZrIr5 crystal from Alexandria. Energies are from GGA-PBE.

The space group is Amm2 (No. 38) and the conventional cell measures 4.477, 2.846 and 14.595 Å, with angles of 90.00, 90.00 and 90.00 degrees. The asymmetric unit holds Zr at (0.000, 0.000, 0.000), Ir at (0.000, 0.000, 0.329), Ir at (0.000, 0.000, 0.666), Ir at (0.500, 0.000, 0.117), Ir at (0.500, 0.000, 0.444) and Ir at (0.500, 0.000, 0.782).

[22]
Here is a relaxed ZrIr4 crystal from Alexandria. Energies are from GGA-PBE.

The space group is I4/m (No. 87) and the conventional cell measures 6.294, 6.294 and 3.974 Å, with angles of 90.00, 90.00 and 90.00 degrees. The asymmetric unit holds Zr at (0.000, 0.000, 0.000) and Ir at (0.100, 0.689, 0.500).

The relative energy among the computed polymorphs comes out at 12 meV/atom.

[23]
Here is a relaxed ZrIr crystal from Alexandria. Energies are from GGA-PBE.

The space group is P4/mcc (No. 124) and the conventional cell measures 8.191, 8.191 and 4.867 Å, with angles of 90.00, 90.00 and 90.00 degrees. The asymmetric unit holds Zr at (0.096, 0.311, 0.000) and Ir at (0.248, 0.407, 0.500).

[24]
Here is a relaxed Zr3Ir crystal from Alexandria. Energies are from GGA-PBE.

The space group is P2/m (No. 10) and the conventional cell measures 3.168, 4.597 and 5.749 Å, with angles of 90.00, 105.50 and 90.00 degrees. The asymmetric unit holds Zr at (0.000, 0.000, 0.000), Zr at (0.289, 0.500, 0.734) and Ir at (0.500, 0.000, 0.500).

[25]
Here is a relaxed Zr3Ir crystal from Alexandria. Energies are from GGA-PBE.

The space group is P4/mmm (No. 123) and the conventional cell measures 4.760, 4.760 and 3.492 Å, with angles of 90.00, 90.00 and 90.00 degrees. The asymmetric unit holds Zr at (0.000, 0.000, 0.000), Zr at (0.000, 0.500, 0.500) and Ir at (0.500, 0.500, 0.000).

[26]
Here is a relaxed ZrIr2 crystal from Alexandria. Energies are from GGA-PBE.

The space group is I4/mcm (No. 140) and the conventional cell measures 5.221, 5.221 and 8.158 Å, with angles of 90.00, 90.00 and 90.00 degrees. The asymmetric unit holds Zr at (0.000, 0.000, 0.250) and Ir at (0.178, 0.322, 0.000).

Number 1: E_form -0.34 eV/atom, density of states at the Fermi level 25.10 states/eV per cell. Number 2: E_form -0.07 eV/atom, density of states at the Fermi level 3.74 states/eV per cell. Number 3: E_form -0.68 eV/atom, density of states at the Fermi level 19.47 states/eV per cell. Number 4: E_form -0.43 eV/atom, density of states at the Fermi level 16.63 states/eV per cell. Number 5: E_form -0.30 eV/atom, density of states at the Fermi level 10.26 states/eV per cell. Number 6: E_form -0.04 eV/atom, density of states at the Fermi level 41.96 states/eV per cell. Number 7: E_form -0.64 eV/atom, density of states at the Fermi level 5.61 states/eV per cell. Number 8: E_form -0.69 eV/atom, density of states at the Fermi level 2.83 states/eV per cell. Number 9: E_form -0.72 eV/atom, density of states at the Fermi level 14.66 states/eV per cell. Number 10: E_form -0.75 eV/atom, density of states at the Fermi level 29.23 states/eV per cell. Number 11: E_form -0.68 eV/atom, density of states at the Fermi level 3.78 states/eV per cell. Number 12: E_form -0.48 eV/atom, density of states at the Fermi level 3.04 states/eV per cell. Number 13: E_form -0.63 eV/atom, density of states at the Fermi level 18.58 states/eV per cell. Number 14: E_form -0.51 eV/atom, density of states at the Fermi level 2.01 states/eV per cell. Number 15: E_form -0.43 eV/atom, density of states at the Fermi level 4.14 states/eV per cell. Number 16: E_form -0.16 eV/atom, density of states at the Fermi level 3.36 states/eV per cell. Number 17: E_form -0.70 eV/atom, density of states at the Fermi level 6.57 states/eV per cell. Number 18: E_form -0.11 eV/atom, density of states at the Fermi level 3.24 states/eV per cell. Number 19: E_form -0.08 eV/atom, density of states at the Fermi level 43.28 states/eV per cell. Number 20: E_form -0.60 eV/atom, density of states at the Fermi level 9.10 states/eV per cell. Number 21: E_form -0.25 eV/atom, density of states at the Fermi level 13.03 states/eV per cell. Number 22: E_form -0.43 eV/atom, density of states at the Fermi level 5.54 states/eV per cell. Number 23: E_form -0.27 eV/atom, density of states at the Fermi level 9.04 states/eV per cell. Number 24: E_form -0.33 eV/atom, density of states at the Fermi level 3.51 states/eV per cell. Number 25: E_form -0.35 eV/atom, density of states at the Fermi level 6.05 states/eV per cell. Number 26: E_form -0.51 eV/atom, density of states at the Fermi level 4.57 states/eV per cell.